# 1
# LaYTl | Alexandria | PBE | relaxed
# Density (g cm⁻³): 7.5
# Fermi-level density of states (states/eV/f.u.): 3.836
# ΔH_f (0 K) (eV per atom): -0.236
# Crystal system: tetragonal
data_LaYTl
_cell_length_a 3.694
_cell_length_b 3.694
_cell_length_c 14.026
_cell_angle_alpha 90.00
_cell_angle_beta 90.00
_cell_angle_gamma 90.00
_space_group_name_H-M_alt 'I 4 m m'
_space_group_IT_number 107
_space_group_name_Hall 'I 4 -2'
loop_
_atom_site_label
_atom_site_type_symbol
_atom_site_fract_x
_atom_site_fract_y
_atom_site_fract_z
_atom_site_occupancy
La1 La 0.000 0.000 0.000 1
Y1 Y 0.000 0.000 0.693 1
Tl1 Tl 0.000 0.000 0.336 1

=====

# 2
# YNi9Sb2 | Alexandria | PBE | relaxed
# Density (g cm⁻³): 8.5
# Fermi-level density of states (states/eV/f.u.): 13.455
# Energy relative to the elements, uncorrected (kJ per mole of atoms): -16.0
# Crystal system: trigonal
data_YNi9Sb2
_cell_length_a 4.9045
_cell_length_b 4.9045
_cell_length_c 24.1975
_cell_angle_alpha 90.00
_cell_angle_beta 90.00
_cell_angle_gamma 120.00
_space_group_name_H-M_alt 'R -3 m'
_space_group_IT_number 166
_space_group_name_Hall '-R 3 2"'
loop_
_atom_site_label
_atom_site_type_symbol
_atom_site_fract_x
_atom_site_fract_y
_atom_site_fract_z
_atom_site_occupancy
Y1 Y 0.0000 0.0000 0.0000 1
Ni1 Ni 0.0000 0.0000 0.3335 1
Ni2 Ni 0.0000 0.0000 0.5000 1
Ni3 Ni 0.0020 0.5010 0.9168 1
Sb1 Sb 0.0000 0.0000 0.1324 1

=====

# 3
# In3TcIr | Alexandria | PBE | relaxed
# Density (g cm⁻³): 7.9
# Fermi-level density of states (states/eV/f.u.): 4.829
# ΔH_f (0 K) (eV per atom): 0.801
# Crystal system: cubic
data_In3TcIr
_cell_length_a 5.104
_cell_length_b 5.104
_cell_length_c 5.104
_cell_angle_alpha 90.00
_cell_angle_beta 90.00
_cell_angle_gamma 90.00
_space_group_name_H-M_alt 'P m -3 m'
_space_group_IT_number 221
_space_group_name_Hall '-P 4 2 3'
loop_
_atom_site_label
_atom_site_type_symbol
_atom_site_fract_x
_atom_site_fract_y
_atom_site_fract_z
_atom_site_occupancy
In1 In 0.000 0.000 0.500 1
Tc1 Tc 0.500 0.500 0.500 1
Ir1 Ir 0.000 0.000 0.000 1

=====

# 4
# RbHPb | Alexandria | PBE | relaxed
# VASP energy (eV per atom): -2.8001
# Density (g cm⁻³): 5.0
# Fermi-level density of states (states/eV/f.u.): 0.128
# Crystal system: monoclinic
data_RbHPb
_cell_length_a 5.735
_cell_length_b 4.921
_cell_length_c 7.442
_cell_angle_alpha 90.00
_cell_angle_beta 112.23
_cell_angle_gamma 90.00
_space_group_name_H-M_alt 'P 1 21/m 1'
_space_group_IT_number 11
_space_group_name_Hall '-P 2yb'
loop_
_atom_site_label
_atom_site_type_symbol
_atom_site_fract_x
_atom_site_fract_y
_atom_site_fract_z
_atom_site_occupancy
Rb1 Rb 0.149 0.250 0.278 1
H1 H 0.096 0.250 0.866 1
Pb1 Pb 0.425 0.250 0.854 1

=====

# 5
# AcNdBiPt | Alexandria | PBE | relaxed
# Density (g cm⁻³): 10.8
# Fermi-level density of states (states/eV/f.u.): 4.449
# ΔH_f (0 K) (eV per atom): -0.726
# Crystal system: cubic
data_AcNdBiPt
_cell_length_a 7.807
_cell_length_b 7.807
_cell_length_c 7.807
_cell_angle_alpha 90.00
_cell_angle_beta 90.00
_cell_angle_gamma 90.00
_space_group_name_H-M_alt 'F -4 3 m'
_space_group_IT_number 216
_space_group_name_Hall 'F -4 2 3'
loop_
_atom_site_label
_atom_site_type_symbol
_atom_site_fract_x
_atom_site_fract_y
_atom_site_fract_z
_atom_site_occupancy
Ac1 Ac 0.000 0.000 0.000 1
Nd1 Nd 0.000 0.000 0.500 1
Bi1 Bi 0.250 0.250 0.750 1
Pt1 Pt 0.250 0.250 0.250 1

=====

# 6
# AlPPt | Alexandria | PBE | relaxed
# Density (g cm⁻³): 9.3
# Fermi-level density of states (states/eV/f.u.): 1.434
# ΔH_f (0 K) (eV per atom): -0.184
# Crystal system: orthorhombic
data_AlPPt
_cell_length_a 4.057
_cell_length_b 4.064
_cell_length_c 11.000
_cell_angle_alpha 90.00
_cell_angle_beta 90.00
_cell_angle_gamma 90.00
_space_group_name_H-M_alt 'F m m 2'
_space_group_IT_number 42
_space_group_name_Hall 'F 2 -2'
loop_
_atom_site_label
_atom_site_type_symbol
_atom_site_fract_x
_atom_site_fract_y
_atom_site_fract_z
_atom_site_occupancy
Al1 Al 0.000 0.000 0.000 1
P1 P 0.000 0.000 0.336 1
Pt1 Pt 0.000 0.000 0.650 1

=====

# 7
# BaH2S | Alexandria | PBE | relaxed
# VASP energy (eV per atom): -4.1832
# Density (g cm⁻³): 3.5
# Fermi-level density of states (states/eV/f.u.): 0.000
# Crystal system: monoclinic
data_BaH2S
_cell_length_a 5.232
_cell_length_b 6.391
_cell_length_c 5.282
_cell_angle_alpha 90.00
_cell_angle_beta 113.03
_cell_angle_gamma 90.00
_space_group_name_H-M_alt 'P 1 21/m 1'
_space_group_IT_number 11
_space_group_name_Hall '-P 2yb'
loop_
_atom_site_label
_atom_site_type_symbol
_atom_site_fract_x
_atom_site_fract_y
_atom_site_fract_z
_atom_site_occupancy
Ba1 Ba 0.177 0.250 0.318 1
H1 H 0.471 0.539 0.036 1
S1 S 0.178 0.750 0.324 1

=====

# 8
# Sc4TeSe3 | Alexandria | PBE | relaxed
# Density (g cm⁻³): 5.2
# Fermi-level density of states (states/eV/f.u.): 5.699
# Energy relative to the elements, uncorrected (kJ per mole of atoms): -139.4
# Crystal system: orthorhombic
data_Sc4TeSe3
_cell_length_a 3.945
_cell_length_b 5.588
_cell_length_c 7.933
_cell_angle_alpha 90.00
_cell_angle_beta 90.00
_cell_angle_gamma 90.00
_space_group_name_H-M_alt 'P m m m'
_space_group_IT_number 47
_space_group_name_Hall '-P 2 2'
loop_
_atom_site_label
_atom_site_type_symbol
_atom_site_fract_x
_atom_site_fract_y
_atom_site_fract_z
_atom_site_occupancy
Sc1 Sc 0.000 0.000 0.000 1
Sc2 Sc 0.000 0.000 0.500 1
Sc3 Sc 0.500 0.500 0.224 1
Te1 Te 0.000 0.500 0.500 1
Se1 Se 0.000 0.500 0.000 1
Se2 Se 0.500 0.000 0.248 1

=====

# 9
# La2BSe5 | Alexandria | PBE | relaxed
# Density (g cm⁻³): 5.7
# Fermi-level density of states (states/eV/f.u.): 1.195
# Energy relative to the elements, uncorrected (kJ per mole of atoms): -117.0
# Crystal system: monoclinic
data_La2BSe5
_cell_length_a 8.359
_cell_length_b 9.739
_cell_length_c 5.995
_cell_angle_alpha 90.00
_cell_angle_beta 124.89
_cell_angle_gamma 90.00
_space_group_name_H-M_alt 'C 1 m 1'
_space_group_IT_number 8
_space_group_name_Hall 'C -2y'
loop_
_atom_site_label
_atom_site_type_symbol
_atom_site_fract_x
_atom_site_fract_y
_atom_site_fract_z
_atom_site_occupancy
La1 La 0.000 0.233 0.000 1
B1 B 0.479 0.000 0.364 1
Se1 Se 0.282 0.500 0.547 1
Se2 Se 0.284 0.000 0.936 1
Se3 Se 0.292 0.500 0.065 1
Se4 Se 0.421 0.188 0.458 1

=====

# 10
# PmErNi2As2 | Alexandria | PBE | relaxed
# Density (g cm⁻³): 8.6
# Fermi-level density of states (states/eV/f.u.): 2.720
# ΔH_f (0 K) (eV per atom): -1.046
# Crystal system: trigonal
data_PmErNi2As2
_cell_length_a 4.0731
_cell_length_b 4.0731
_cell_length_c 7.8242
_cell_angle_alpha 90.00
_cell_angle_beta 90.00
_cell_angle_gamma 120.00
_space_group_name_H-M_alt 'P -3 m 1'
_space_group_IT_number 164
_space_group_name_Hall '-P 3 2"'
loop_
_atom_site_label
_atom_site_type_symbol
_atom_site_fract_x
_atom_site_fract_y
_atom_site_fract_z
_atom_site_occupancy
Pm1 Pm 0.0000 0.0000 0.0000 1
Er1 Er 0.0000 0.0000 0.5000 1
Ni1 Ni 0.3333 0.6667 0.7400 1
As1 As 0.3333 0.6667 0.2586 1

=====

# 11
# CsIN2F | Alexandria | PBE | relaxed
# Density (g cm⁻³): 4.0
# Fermi-level density of states (states/eV/f.u.): 6.112
# Energy relative to the elements, uncorrected (kJ per mole of atoms): 161.9
# Crystal system: tetragonal
data_CsIN2F
_cell_length_a 5.042
_cell_length_b 5.042
_cell_length_c 5.051
_cell_angle_alpha 90.00
_cell_angle_beta 90.00
_cell_angle_gamma 90.00
_space_group_name_H-M_alt 'P 4/m m m'
_space_group_IT_number 123
_space_group_name_Hall '-P 4 2'
loop_
_atom_site_label
_atom_site_type_symbol
_atom_site_fract_x
_atom_site_fract_y
_atom_site_fract_z
_atom_site_occupancy
Cs1 Cs 0.000 0.000 0.000 1
I1 I 0.500 0.500 0.500 1
N1 N 0.000 0.500 0.000 1
F1 F 0.000 0.000 0.500 1

=====

# 12
# TbPmGdY | Alexandria | PBE | relaxed
# Density (g cm⁻³): 6.9
# Fermi-level density of states (states/eV/f.u.): 8.801
# ΔH_f (0 K) (eV per atom): 0.114
# Crystal system: cubic
data_TbPmGdY
_cell_length_a 8.093
_cell_length_b 8.093
_cell_length_c 8.093
_cell_angle_alpha 90.00
_cell_angle_beta 90.00
_cell_angle_gamma 90.00
_space_group_name_H-M_alt 'F -4 3 m'
_space_group_IT_number 216
_space_group_name_Hall 'F -4 2 3'
loop_
_atom_site_label
_atom_site_type_symbol
_atom_site_fract_x
_atom_site_fract_y
_atom_site_fract_z
_atom_site_occupancy
Tb1 Tb 0.000 0.000 0.000 1
Pm1 Pm 0.250 0.250 0.750 1
Gd1 Gd 0.250 0.250 0.250 1
Y1 Y 0.000 0.000 0.500 1